(1)
A geometry-optimized TiNiBH2 structure, computed with GGA-PBE.

Unit cell a=3.224 b=3.224 c=4.463 alpha=90.00 beta=90.00 gamma=90.00
Atoms (fractional coordinates):
Ti 0.000 0.000 0.000
Ni 0.500 0.500 0.500
B 0.000 0.000 0.500
H 0.000 0.500 0.000
H 0.500 0.000 0.000

Symmetry: No. 123


(2)
A geometry-optimized Re2BiPb structure, computed with GGA-PBE.

Unit cell a=6.761 b=6.761 c=6.761 alpha=90.00 beta=90.00 gamma=90.00
Atoms (fractional coordinates):
Re 0.250 0.250 0.250
Re 0.250 0.250 0.750
Re 0.250 0.750 0.250
Re 0.250 0.750 0.750
Re 0.750 0.250 0.250
Re 0.750 0.250 0.750
Re 0.750 0.750 0.250
Re 0.750 0.750 0.750
Bi 0.000 0.000 0.000
Bi 0.000 0.500 0.500
Bi 0.500 0.000 0.500
Bi 0.500 0.500 0.000
Pb 0.000 0.000 0.500
Pb 0.000 0.500 0.000
Pb 0.500 0.000 0.000
Pb 0.500 0.500 0.500

DFT formation energy (meV per atom): 1216
Symmetry: No. 225


(3)
A geometry-optimized Sc3TcO structure, computed with GGA-PBE.

Unit cell a=3.930 b=3.930 c=14.698 alpha=90.00 beta=90.00 gamma=120.00
Atoms (fractional coordinates):
Sc 0.000 0.000 0.250
Sc 0.000 0.000 0.750
Sc 0.333 0.667 0.074
Sc 0.333 0.667 0.426
Sc 0.667 0.333 0.574
Sc 0.667 0.333 0.926
Tc 0.333 0.667 0.250
Tc 0.667 0.333 0.750
O 0.000 0.000 0.000
O 0.000 0.000 0.500

Relative energy among the computed polymorphs (meV/atom): 1155
Symmetry: No. 194
ΔE_f (raw) (eV per atom): -0.168


(4)
A geometry-optimized Cs8Au3Br5 structure, computed with GGA-PBE.

Unit cell a=8.777 b=8.777 c=8.777 alpha=90.05 beta=90.05 gamma=90.05
Atoms (fractional coordinates):
Cs 0.249 0.249 0.249
Cs 0.249 0.249 0.750
Cs 0.249 0.750 0.249
Cs 0.250 0.751 0.751
Cs 0.750 0.249 0.249
Cs 0.751 0.250 0.751
Cs 0.751 0.751 0.250
Cs 0.751 0.751 0.751
Au 0.000 0.500 0.500
Au 0.500 0.000 0.500
Au 0.500 0.500 0.000
Br 0.000 0.000 0.000
Br 0.000 0.000 0.500
Br 0.000 0.500 0.000
Br 0.500 0.000 0.000
Br 0.500 0.500 0.500

Symmetry: No. 166
ΔE_f (raw) (eV per atom): -1.206


(5)
A geometry-optimized PmSnAuSe structure, computed with GGA-PBE.

Unit cell a=11.940 b=11.940 c=11.940 alpha=22.59 beta=22.59 gamma=22.59
Atoms (fractional coordinates):
Pm 0.108 0.108 0.108
Pm 0.892 0.892 0.892
Sn 0.298 0.298 0.298
Sn 0.702 0.702 0.702
Au 0.382 0.382 0.382
Au 0.618 0.618 0.618
Se 0.197 0.197 0.197
Se 0.803 0.803 0.803

Symmetry: No. 166
ΔE_f (raw) (eV per atom): -0.938


(6)
A geometry-optimized Pa3PS3 structure, computed with GGA-PBE.

Unit cell a=7.010 b=7.010 c=6.998 alpha=93.77 beta=93.77 gamma=111.72
Atoms (fractional coordinates):
Pa 0.057 0.057 0.232
Pa 0.199 0.516 0.682
Pa 0.484 0.801 0.318
Pa 0.516 0.199 0.682
Pa 0.801 0.484 0.318
Pa 0.943 0.943 0.768
P 0.276 0.276 0.930
P 0.724 0.724 0.070
S 0.162 0.838 0.500
S 0.210 0.790 0.000
S 0.376 0.376 0.365
S 0.624 0.624 0.635
S 0.790 0.210 0.000
S 0.838 0.162 0.500

Symmetry: No. 12
ΔE_f (raw) (eV per atom): -1.130


(7)
A geometry-optimized TlCdGaCl4 structure, computed with GGA-PBE.

Unit cell a=7.909 b=7.260 c=8.357 alpha=90.00 beta=108.04 gamma=90.00
Atoms (fractional coordinates):
Tl 0.024 0.250 0.245
Tl 0.976 0.750 0.755
Cd 0.304 0.250 0.787
Cd 0.696 0.750 0.213
Ga 0.475 0.250 0.286
Ga 0.525 0.750 0.714
Cl 0.035 0.250 0.876
Cl 0.274 0.509 0.577
Cl 0.274 0.991 0.577
Cl 0.404 0.750 0.987
Cl 0.596 0.250 0.013
Cl 0.726 0.009 0.423
Cl 0.726 0.491 0.423
Cl 0.965 0.750 0.124

Symmetry: No. 11
ΔE_f (raw) (eV per atom): -0.941


(8)
A geometry-optimized NdCuAu structure, computed with GGA-PBE.

Unit cell a=6.542 b=6.542 c=6.542 alpha=90.00 beta=90.00 gamma=90.00
Atoms (fractional coordinates):
Nd 0.000 0.000 0.000
Nd 0.000 0.500 0.500
Nd 0.500 0.000 0.500
Nd 0.500 0.500 0.000
Cu 0.250 0.250 0.750
Cu 0.250 0.750 0.250
Cu 0.750 0.250 0.250
Cu 0.750 0.750 0.750
Au 0.000 0.000 0.500
Au 0.000 0.500 0.000
Au 0.500 0.000 0.000
Au 0.500 0.500 0.500

DFT formation energy (meV per atom): -350
Relative energy among the computed polymorphs (meV/atom): 179
Symmetry: No. 216


(9)
A geometry-optimized MnReAs4 structure, computed with GGA-PBE.

Unit cell a=5.347 b=5.347 c=5.347 alpha=60.00 beta=60.00 gamma=60.00
Atoms (fractional coordinates):
Mn 0.000 0.000 0.000
Re 0.250 0.250 0.250
As 0.126 0.625 0.625
As 0.625 0.126 0.625
As 0.625 0.625 0.126
As 0.625 0.625 0.625

DFT formation energy (meV per atom): 1024
Symmetry: No. 216


(10)
A geometry-optimized PmY5HoEr2 structure, computed with GGA-PBE.

Unit cell a=10.434 b=10.434 c=10.509 alpha=90.00 beta=90.00 gamma=148.78
Atoms (fractional coordinates):
Pm 0.197 0.803 0.500
Pm 0.803 0.197 0.000
Y 0.016 0.984 0.509
Y 0.278 0.722 0.800
Y 0.301 0.699 0.191
Y 0.389 0.611 0.511
Y 0.479 0.521 0.224
Y 0.521 0.479 0.724
Y 0.611 0.389 0.011
Y 0.699 0.301 0.691
Y 0.722 0.278 0.300
Y 0.984 0.016 0.009
Ho 0.413 0.587 0.937
Ho 0.587 0.413 0.437
Er 0.110 0.890 0.223
Er 0.113 0.887 0.804
Er 0.887 0.113 0.304
Er 0.890 0.110 0.723

DFT formation energy (meV per atom): 157
Symmetry: No. 36


(11)
A geometry-optimized Sm3Tl2C structure, computed with GGA-PBE.

Unit cell a=5.098 b=16.400 c=3.701 alpha=90.00 beta=90.00 gamma=90.00
Atoms (fractional coordinates):
Sm 0.000 0.000 0.000
Sm 0.000 0.393 0.500
Sm 0.000 0.607 0.500
Sm 0.500 0.107 0.500
Sm 0.500 0.500 0.000
Sm 0.500 0.893 0.500
Tl 0.000 0.195 0.000
Tl 0.000 0.805 0.000
Tl 0.500 0.305 0.000
Tl 0.500 0.695 0.000
C 0.000 0.500 0.000
C 0.500 0.000 0.000

DFT formation energy (meV per atom): -327
Symmetry: No. 65


(12)
A geometry-optimized KTlMo2 structure, computed with GGA-PBE.

Unit cell a=2.834 b=5.403 c=5.560 alpha=90.00 beta=90.00 gamma=90.00
Atoms (fractional coordinates):
K 0.000 0.000 0.000
Tl 0.500 0.500 0.000
Mo 0.000 0.500 0.500
Mo 0.500 0.000 0.500

DFT formation energy (meV per atom): 1354
Relative energy among the computed polymorphs (meV/atom): 766
Symmetry: No. 47


no.,E (Ry per atom)
1,-0.3661
2,-0.5075
3,-0.5168
4,-0.2036
5,-0.3540
6,-0.5690
7,-0.2130
8,-0.3232
9,-0.4174
10,-0.4031
11,-0.3684
12,-0.3621